18
Lattice="1.939 -6.653 0.000 1.939 6.653 0.000 0.000 0.000 13.087" Properties=species:S:1:pos:R:3 comment="DyGa3Pt5 | the Alexandria database | PBE | optimized geometry" total_energy_ev_per_atom=-5.561 density_g_cm3=13.3 delta_e_f_kj_per_mol_atoms=-66.0 magmom_total_mub_per_atom=0.0000 n_ef_per_ev_atom=0.374 pbc="T T T"
Dy 1.939 5.340 9.815
Dy 1.939 -5.340 3.272
Ga 1.939 4.829 3.272
Ga 1.939 1.619 0.525
Ga 1.939 1.619 6.019
Ga 1.939 -1.619 7.068
Ga 1.939 -1.619 12.563
Ga 1.939 -4.829 9.815
Pt 0.000 0.000 0.000
Pt 0.000 0.000 6.544
Pt 1.939 4.001 0.938
Pt 1.939 4.001 5.605
Pt 1.939 0.549 8.481
Pt 1.939 0.549 11.150
Pt 1.939 -0.549 1.937
Pt 1.939 -0.549 4.606
Pt 1.939 -4.001 7.482
Pt 1.939 -4.001 12.149